i.
DFT (PBEsol) results for an optimized crystal structure of ScHg2W.

## Properties
For the density of states at the Fermi level, the calculation gives 1.062 states/eV per atom.

Cell lengths 4.7319, 4.7319, 4.7319 Å; angles 60.00, 60.00, 60.00 degrees
Closest atoms and distances in Å follow each position.
Element x y z (fractional)
Sc (0.0000, 0.0000, 0.0000)  8 Hg 2.90
Hg (0.2500, 0.2500, 0.2500)  4 W 2.90, 4 Sc 2.90
Hg (0.7500, 0.7500, 0.7500)  4 W 2.90, 4 Sc 2.90
W (0.5000, 0.5000, 0.5000)  8 Hg 2.90

ii.
DFT (PBEsol) results for an optimized crystal structure of ScHg2W.

## Properties
For the density of states at the Fermi level, the calculation gives 0.849 states/eV per atom.

Cell lengths 5.1490, 5.1490, 5.2682 Å; angles 99.21, 99.21, 33.33 degrees
Closest atoms and distances in Å follow each position.
Element x y z (fractional)
Sc (0.0000, 0.0000, 0.0000)  2 Sc 2.95, 6 Hg 2.99-3.02, 4 W 3.02
Hg (0.2473, 0.2473, 0.7418)  3 W 2.95-2.98, 6 Hg 2.95-3.09, 3 Sc 2.99-3.02
Hg (0.7527, 0.7527, 0.2582)  3 W 2.95-2.98, 6 Hg 2.95-3.09, 3 Sc 2.99-3.02
W (0.5000, 0.5000, 0.5000)  6 Hg 2.95-2.98, 2 W 2.95, 4 Sc 3.02

iii.
DFT (PBEsol) results for an optimized crystal structure of ScHg2W.

## Properties
For the density of states at the Fermi level, the calculation gives 0.752 states/eV per atom.

Cell lengths 2.9813, 4.2014, 5.8772 Å; angles 90.00, 90.00, 90.00 degrees
Closest atoms and distances in Å follow each position.
Element x y z (fractional)
Sc (0.0000, 0.0000, 0.0000)  2 W 2.94, 2 Sc 2.98, 8 Hg 2.99
Hg (0.5000, 0.5000, 0.2570)  4 Hg 2.86-3.02, 4 W 2.95, 4 Sc 2.99
Hg (0.5000, 0.5000, 0.7430)  4 Hg 2.86-3.02, 4 W 2.95, 4 Sc 2.99
W (0.0000, 0.0000, 0.5000)  2 Sc 2.94, 8 Hg 2.95, 2 W 2.98

Ordering by calculated energy gives the sequence iii, ii, i, with the first entry being the most stable.